[1]
VASP calculation (PBE) on a relaxed structure of AgRuPb2.

Unit cell a=10.313 b=10.313 c=10.313 alpha=18.08 beta=18.08 gamma=18.08
Positions (direct):
Ag: 0.760 0.760 0.760
Pb: 0.011 0.011 0.011
Pb: 0.233 0.233 0.233
Ru: 0.497 0.497 0.497

Spin magnetization   0.1254 μB/atom
SG   No. 160
ΔE to the lowest computed polymorph   166 meV per atom

[2]
VASP calculation (PBE) on a relaxed structure of Ag2RuPb.

Unit cell a=9.993 b=9.993 c=9.993 alpha=17.53 beta=17.53 gamma=17.53
Positions (direct):
Ag: 0.008 0.008 0.008
Ag: 0.492 0.492 0.492
Pb: 0.250 0.250 0.250
Ru: 0.750 0.750 0.750

Spin magnetization   0.2035 μB/atom
E   -0.151 Ha/atom
SG   No. 166